A plane-wave DFT calculation with GGA-PBE was carried out for Ce2DyCd4 after structural relaxation.

abc: 8.255 8.255 8.255
angles: 142.95 142.95 53.40
Atoms (fractional coordinates):
Ce 0.242 0.242 0.000
Ce 0.758 0.758 0.000
Dy 0.500 0.500 0.000
Cd 0.109 0.609 0.500
Cd 0.391 0.891 0.500
Cd 0.609 0.109 0.500
Cd 0.891 0.391 0.500

Summary:
* magnetization: 2.6 Bohr magnetons per cell
* E_tot: -20.511 eV per cell
* calculated formation energy: -0.054 eV/atom